Below is a geometry-optimized KAu2Se structure, with properties calculated at the GGA-PBEsol level.

As for the uncorrected formation energy: 0.056 eV/atom. Its calculated density is 10.29 g cm⁻³. For the volume, the calculation gives 83 Å³/cell. The space group is P4/mmm, No. 123. Its density of states at the Fermi level is 0.28 states/eV/atom. Its total energy is -12.6 eV per cell.

Structure (POSCAR):
```
KAu2Se
1.0
4.221 0.000 0.000
0.000 4.221 0.000
0.000 0.000 4.637
K Au Se
1 2 1
Direct
0.500 0.500 0.500
0.500 0.000 0.000
0.000 0.500 0.000
0.000 0.000 0.500
```